Entry 1:
Ba2CaMgNi | PBE | optimized geometry

a b c (Å): 6.087 6.087 5.234
angles (deg): 90.00 90.00 90.00
Fractional positions:
Ba  0.000  0.500  0.000
Ba  0.500  0.000  0.000
Ca  0.000  0.000  0.500
Mg  0.500  0.500  0.500
Ni  0.500  0.500  0.000

Summary:
DOS(E_F) = 4.9 states/eV/cell
ΔH_f (0 K) = 60.1 meV/atom
energy above the lowest structure with this stoichiometry = 0.030 eV/atom

Entry 2:
BaCa2MgNi | PBE | optimized geometry

a b c (Å): 5.536 5.536 5.932
angles (deg): 90.00 90.00 90.00
Fractional positions:
Ba  0.000  0.000  0.000
Ca  0.000  0.500  0.500
Ca  0.500  0.000  0.500
Mg  0.500  0.500  0.000
Ni  0.000  0.000  0.500

Summary:
DOS(E_F) = 3.6 states/eV/cell
ΔH_f (0 K) = 15.6 meV/atom
energy above the lowest structure with this stoichiometry = 0.044 eV/atom

Entry 3:
BaCa2MgNi | PBE | optimized geometry

a b c (Å): 5.556 5.556 5.298
angles (deg): 90.00 90.00 90.00
Fractional positions:
Ba  0.000  0.000  0.000
Ca  0.000  0.500  0.500
Ca  0.500  0.000  0.500
Mg  0.500  0.500  0.000
Ni  0.500  0.500  0.500

Summary:
DOS(E_F) = 5.2 states/eV/cell
ΔH_f (0 K) = -27.9 meV/atom
energy above the lowest structure with this stoichiometry = 0.000 eV/atom

Entry 4:
Ba2CaMgNi | PBE | optimized geometry

a b c (Å): 6.045 6.045 5.541
angles (deg): 90.00 90.00 90.00
Fractional positions:
Ba  0.000  0.500  0.000
Ba  0.500  0.000  0.000
Ca  0.000  0.000  0.500
Mg  0.500  0.500  0.500
Ni  0.000  0.000  0.000

Summary:
DOS(E_F) = 3.1 states/eV/cell
ΔH_f (0 K) = 30.5 meV/atom
energy above the lowest structure with this stoichiometry = 0.000 eV/atom